Entry 1:
First-principles (PBE-GGA) data for an optimized crystal structure of GaSiH2, as listed in the Alexandria database.

abc: 2.586 7.100 5.342
angles: 90.00 113.58 90.00
Fractional positions:
Ga1 0.500 0.000 0.500
Ga2 0.500 0.500 0.000
Si1 0.500 0.500 0.500
Si2 0.500 0.000 0.000
H1 0.500 0.270 0.500
H2 0.500 0.730 0.500
H3 0.500 0.770 0.000
H4 0.500 0.230 0.000

Final energy: -28.30 eV per cell
Calculated volume: 11.24 Å³/atom
Magnetization: 0.00 μB/f.u.
Energy relative to the lowest polymorph listed for this composition: 0.112 eV per atom



Entry 2:
First-principles (PBE-GGA) data for an optimized crystal structure of PdPtAu5, as listed in the Alexandria database.

abc: 6.799 6.799 7.587
angles: 65.80 65.80 85.73
Fractional positions:
Pd1 0.526 0.474 0.250
Pd2 0.474 0.526 0.750
Pt1 0.000 0.000 0.000
Pt2 0.000 0.000 0.500
Au1 0.622 0.794 0.330
Au2 0.175 0.617 0.487
Au3 0.794 0.622 0.830
Au4 0.807 0.193 0.250
Au5 0.383 0.825 0.013
Au6 0.617 0.175 0.987
Au7 0.193 0.807 0.750
Au8 0.206 0.378 0.170
Au9 0.825 0.383 0.513
Au10 0.378 0.206 0.670

Final energy: -50.69 eV per cell
Calculated volume: 20.71 Å³/atom
Magnetization: 0.00 μB/f.u.
ΔH_f (0 K): 0.325 eV per atom
Energy relative to the lowest polymorph listed for this composition: 0.235 eV per atom



Entry 3:
First-principles (PBE-GGA) data for an optimized crystal structure of Mo2RuRh5, as listed in the Alexandria database.

abc: 4.266 5.020 12.622
angles: 90.00 90.00 115.15
Fractional positions:
Mo1 0.774 0.549 0.381
Mo2 0.774 0.549 0.119
Mo3 0.226 0.451 0.619
Mo4 0.226 0.451 0.881
Ru1 0.742 0.483 0.750
Ru2 0.258 0.517 0.250
Rh1 0.917 0.833 0.911
Rh2 0.917 0.833 0.589
Rh3 0.387 0.773 0.442
Rh4 0.387 0.773 0.058
Rh5 0.556 0.111 0.250
Rh6 0.444 0.889 0.750
Rh7 0.613 0.227 0.558
Rh8 0.613 0.227 0.942
Rh9 0.083 0.167 0.089
Rh10 0.083 0.167 0.411

Final energy: -134.18 eV per cell
Calculated volume: 15.30 Å³/atom
Magnetization: 0.00 μB/f.u.
ΔH_f (0 K): 0.076 eV per atom



Entry 4:
First-principles (PBE-GGA) data for an optimized crystal structure of LiCdIr2, as listed in the Alexandria database.

abc: 9.514 9.514 9.514
angles: 16.87 16.87 16.87
Fractional positions:
Cd1 0.749 0.749 0.749
Ir1 0.994 0.994 0.994
Ir2 0.250 0.250 0.250
Li1 0.507 0.507 0.507

Final energy: -20.37 eV per cell
Calculated volume: 15.80 Å³/atom
Magnetization: 0.00 μB/f.u.
ΔH_f (0 K): 0.045 eV per atom